Entry from Alexandria via LeMat-Bulk: an optimized crystal structure of Sc2PIr6 (GGA-PBE).

## Properties
D(E_F)	6.05	states/eV/cell
formation enthalpy at 0 K	-0.673	eV/atom

Cell: 5.865 5.865 5.865 Å, 60.00 60.00 60.00°
Positions (direct):
Sc (0.250, 0.250, 0.250)
Sc (0.750, 0.750, 0.750)
P (0.000, 0.000, 0.000)
Ir (0.268, 0.268, 0.732)
Ir (0.268, 0.732, 0.268)
Ir (0.268, 0.732, 0.732)
Ir (0.732, 0.268, 0.268)
Ir (0.732, 0.268, 0.732)
Ir (0.732, 0.732, 0.268)